Here is a relaxed structure of HfCu2Bi from Alexandria. Energies are from PBE.

Output
total magnetic moment: 0.000 μB/f.u.
formation enthalpy at 0 K: 5.3 kJ per mole of atoms

a = 4.112 Å, b = 4.197 Å, c = 4.197 Å
α = 90.00°, β = 90.00°, γ = 90.00°
Element x y z (fractional)
Cu (0.000, 0.000, 0.500)
Hf (0.500, 0.000, 0.000)
Bi (0.500, 0.500, 0.500)
Cu (0.000, 0.500, 0.000)